# PBE-GGA La7Ag2Rh2, optimized geometry
# **Energy**: -5.374 eV per atom
# **Distance to the lowest polymorph of the same formula**: 0.0000 eV/atom
# **DOS at the Fermi energy**: 26.8 states/eV per cell
# **Crystal system**: orthorhombic
# **Magnetization**: 0.0 μB per cell
data_La7Ag2Rh2
_chemical_formula_sum 'La14 Ag4 Rh4'
_symmetry_space_group_name_H-M 'I m m 2'
_symmetry_Int_Tables_number 44
_symmetry_space_group_name_Hall 'I 2 -2'
_cell_length_a 3.976
_cell_length_b 16.111
_cell_length_c 10.304
_cell_angle_alpha 90.00
_cell_angle_beta 90.00
_cell_angle_gamma 90.00
loop_
_atom_site_label
_atom_site_type_symbol
_atom_site_fract_x
_atom_site_fract_y
_atom_site_fract_z
La1 La 0.000 0.000 0.000
La2 La 0.000 0.127 0.418
La3 La 0.000 0.318 0.618
La4 La 0.000 0.355 0.268
Ag1 Ag 0.000 0.000 0.668
Ag2 Ag 0.000 0.500 0.760
Rh1 Rh 0.000 0.238 0.929


# PBE-GGA LaAg2Rh, optimized geometry
# **Energy**: -4.780 eV per atom
# **Distance to the lowest polymorph of the same formula**: 0.0934 eV/atom
# **DOS at the Fermi energy**: 3.4 states/eV per cell
# **Crystal system**: orthorhombic
# **Magnetization**: 0.0 μB per cell
data_LaAg2Rh
_chemical_formula_sum 'La2 Ag4 Rh2'
_symmetry_space_group_name_H-M 'A m m 2'
_symmetry_Int_Tables_number 38
_symmetry_space_group_name_Hall 'A 2 -2'
_cell_length_a 3.917
_cell_length_b 3.968
_cell_length_c 11.217
_cell_angle_alpha 90.00
_cell_angle_beta 90.00
_cell_angle_gamma 90.00
loop_
_atom_site_label
_atom_site_type_symbol
_atom_site_fract_x
_atom_site_fract_y
_atom_site_fract_z
La1 La 0.000 0.000 0.000
Ag1 Ag 0.000 0.000 0.272
Ag2 Ag 0.500 0.000 0.707
Rh1 Rh 0.500 0.000 0.447


# PBE-GGA La6AgRh, optimized geometry
# **Energy**: -5.100 eV per atom
# **DOS at the Fermi energy**: 39.4 states/eV per cell
# **Crystal system**: trigonal
# **Magnetization**: 0.0 μB per cell
data_La6AgRh
_chemical_formula_sum 'La18 Ag3 Rh3'
_symmetry_space_group_name_H-M 'R -3'
_symmetry_Int_Tables_number 148
_symmetry_space_group_name_Hall '-R 3'
_cell_length_a 7.0421
_cell_length_b 7.0421
_cell_length_c 20.4397
_cell_angle_alpha 90.00
_cell_angle_beta 90.00
_cell_angle_gamma 120.00
loop_
_atom_site_label
_atom_site_type_symbol
_atom_site_fract_x
_atom_site_fract_y
_atom_site_fract_z
La1 La 0.0047 0.3604 0.4152
Ag1 Ag 0.0000 0.0000 0.5000
Rh1 Rh 0.0000 0.0000 0.0000


# PBE-GGA LaAgRh2, optimized geometry
# **Energy**: -5.727 eV per atom
# **DOS at the Fermi energy**: 13.0 states/eV per cell
# **Crystal system**: cubic
# **Magnetization**: 0.0 μB per cell
data_LaAgRh2
_chemical_formula_sum 'La4 Ag4 Rh8'
_symmetry_space_group_name_H-M 'F -4 3 m'
_symmetry_Int_Tables_number 216
_symmetry_space_group_name_Hall 'F -4 2 3'
_cell_length_a 6.768
_cell_length_b 6.768
_cell_length_c 6.768
_cell_angle_alpha 90.00
_cell_angle_beta 90.00
_cell_angle_gamma 90.00
loop_
_atom_site_label
_atom_site_type_symbol
_atom_site_fract_x
_atom_site_fract_y
_atom_site_fract_z
La1 La 0.000 0.000 0.000
Ag1 Ag 0.250 0.250 0.750
Rh1 Rh 0.000 0.000 0.500
Rh2 Rh 0.250 0.250 0.250


Number 1: density 7.0 g/cm³, ΔH_f (0 K) -4.21 eV/f.u.. Number 2: density 8.7 g/cm³, ΔH_f (0 K) -1.14 eV/f.u.. Number 3: density 5.9 g/cm³, ΔH_f (0 K) -1.03 eV/f.u.. Number 4: density 9.7 g/cm³, ΔH_f (0 K) -0.43 eV/f.u..